No. 1
CaSm4Tm4O12 | GGA-PBE | relaxed

Distance to the lowest polymorph of the same formula ... 0.0312 eV/atom
Size of the total moment ... 0.000 μB per formula unit
Crystal system ... triclinic
Space group ... No. 1

Unit cell a=5.904 b=6.133 c=9.441 alpha=82.81 beta=78.86 gamma=81.13
Positions (direct):
Ca 0.401 0.262 0.134
Sm 0.962 0.973 0.152
Sm 0.488 0.426 0.738
Sm 0.566 0.618 0.304
Sm 0.015 0.954 0.729
Tm 0.488 0.887 0.929
Tm 0.504 0.093 0.498
Tm 0.930 0.459 0.946
Tm 0.014 0.539 0.516
O 0.616 0.046 0.712
O 0.192 0.265 0.644
O 0.210 0.185 0.954
O 0.700 0.389 0.502
O 0.770 0.317 0.171
O 0.294 0.377 0.355
O 0.813 0.619 0.745
O 0.231 0.694 0.879
O 0.268 0.795 0.540
O 0.770 0.753 0.052
O 0.786 0.846 0.383
O 0.336 0.896 0.178

---

No. 2
CaSm4Tm4O12 | GGA-PBE | relaxed

Distance to the lowest polymorph of the same formula ... 0.1174 eV/atom
Size of the total moment ... 0.000 μB per formula unit
Crystal system ... monoclinic
Space group ... No. 6

Unit cell a=8.543 b=5.872 c=6.154 alpha=89.22 beta=90.00 gamma=90.00
Positions (direct):
Ca 0.500 0.912 0.743
Sm 0.500 0.082 0.171
Sm 0.000 0.542 0.426
Sm 0.500 0.433 0.557
Sm 0.000 0.984 0.942
Tm 0.245 0.498 0.988
Tm 0.755 0.498 0.988
Tm 0.219 0.017 0.485
Tm 0.781 0.017 0.485
O 0.000 0.359 0.060
O 0.835 0.806 0.196
O 0.165 0.806 0.196
O 0.702 0.327 0.304
O 0.298 0.327 0.304
O 0.500 0.792 0.401
O 0.000 0.169 0.565
O 0.172 0.716 0.696
O 0.828 0.716 0.696
O 0.308 0.178 0.810
O 0.692 0.178 0.810
O 0.500 0.577 0.919

---

No. 3
CaSm4Tm4O12 | GGA-PBE | relaxed

Distance to the lowest polymorph of the same formula ... 0.0532 eV/atom
Size of the total moment ... 0.000 μB per formula unit
Crystal system ... monoclinic
Space group ... No. 6

Unit cell a=7.396 b=6.507 c=6.480 alpha=88.29 beta=90.00 gamma=90.00
Positions (direct):
Ca 0.500 0.677 0.765
Sm 0.500 0.002 0.123
Sm 0.000 0.544 0.494
Sm 0.500 0.502 0.347
Sm 0.000 0.870 0.049
Tm 0.233 0.061 0.568
Tm 0.767 0.061 0.568
Tm 0.209 0.373 0.967
Tm 0.791 0.373 0.967
O 0.000 0.166 0.805
O 0.771 0.145 0.233
O 0.229 0.145 0.233
O 0.706 0.397 0.623
O 0.294 0.397 0.623
O 0.500 0.383 0.015
O 0.000 0.585 0.851
O 0.212 0.608 0.217
O 0.788 0.608 0.217
O 0.302 0.913 0.863
O 0.698 0.913 0.863
O 0.500 0.869 0.462

---

No. 4
Ca2SmUO6 | GGA-PBE | relaxed

Size of the total moment ... 1.000 μB per formula unit
Crystal system ... trigonal
Space group ... No. 146

Unit cell a=5.905 b=5.905 c=6.127 alpha=61.19 beta=61.19 gamma=60.00
Positions (direct):
Ca 0.533 0.533 0.401
Ca 0.028 0.028 0.917
Sm 0.810 0.810 0.571
U 0.317 0.317 0.049
O 0.593 0.198 0.254
O 0.198 0.955 0.254
O 0.955 0.593 0.254
O 0.428 0.681 0.772
O 0.681 0.118 0.772
O 0.118 0.428 0.772

---

Number 1: formation energy (no corrections) -3.188 eV per atom. Number 2: formation energy (no corrections) -3.102 eV per atom. Number 3: formation energy (no corrections) -3.166 eV per atom. Number 4: formation energy (no corrections) -3.249 eV per atom.